No. 1
Tm4ScRu5: optimized geometry, PBE.

Properties
Symmetry = P4/mmm
ΔE_f = -41.9 kJ/mol of atoms
Theoretical density = 11.058 Mg/m³
Total magnetic moment = 0.0 μB per cell

POSCAR file:
```
Tm4ScRu5
1.0
3.3282 0.0000 0.0000
0.0000 3.3282 0.0000
0.0000 0.0000 16.6208
Tm Sc Ru
4 1 5
direct
0.0000 0.0000 0.1959
0.0000 0.0000 0.3986
0.0000 0.0000 0.6014
0.0000 0.0000 0.8041
0.0000 0.0000 0.0000
0.5000 0.5000 0.0934
0.5000 0.5000 0.2968
0.5000 0.5000 0.5000
0.5000 0.5000 0.7032
0.5000 0.5000 0.9066
```


No. 2
TmSc3Ru4: optimized geometry, PBE.

Properties
Symmetry = P4/mmm
ΔE_f = -47.8 kJ/mol of atoms
Theoretical density = 8.579 Mg/m³
Total magnetic moment = 0.0 μB per cell

POSCAR file:
```
TmSc3Ru4
1.0
-2.4893 -1.9642 -3.3147
-4.4671 -1.7635 4.3997
-4.4487 7.9098 -1.3463
Sc Ru Tm
6 8 2
direct
0.0000 0.0000 0.0000
0.0000 0.0000 0.5000
0.5002 0.0000 0.7500
0.4998 0.0000 0.2500
0.5001 0.5000 0.7500
0.4999 0.5000 0.2500
0.5000 0.7555 0.0000
0.5000 0.7555 0.5000
0.5000 0.2445 0.0000
0.5000 0.2445 0.5000
0.0002 0.7555 0.7500
0.9998 0.7555 0.2500
0.9998 0.2445 0.2500
0.0002 0.2445 0.7500
0.0000 0.5000 0.0000
0.0000 0.5000 0.5000
```